# 1
! SmY2ErTm6 | the Alexandria database | GGA-PBE | optimized geometry; values from VASP
! * crystal system: monoclinic
! * total magnetic moment: 0.00 μB/f.u.
! * Fermi-level density of states: 29.26 states/eV/cell
! * formation energy: 12 kJ/mol of atoms
&SYSTEM
  ibrav = 0, nat = 20, ntyp = 4
/
ATOMIC_SPECIES
Sm 150.36 Sm.upf
Y 88.91 Y.upf
Er 167.26 Er.upf
Tm 168.93 Tm.upf
ATOMIC_POSITIONS crystal
Sm 0.027 0.973 0.750
Sm 0.973 0.027 0.250
Y 0.199 0.304 0.547
Y 0.304 0.199 0.047
Y 0.696 0.801 0.953
Y 0.801 0.696 0.453
Er 0.410 0.590 0.250
Er 0.590 0.410 0.750
Tm 0.018 0.567 0.684
Tm 0.126 0.753 0.059
Tm 0.247 0.874 0.441
Tm 0.290 0.512 0.884
Tm 0.433 0.982 0.816
Tm 0.488 0.710 0.616
Tm 0.512 0.290 0.384
Tm 0.567 0.018 0.184
Tm 0.710 0.488 0.116
Tm 0.753 0.126 0.559
Tm 0.874 0.247 0.941
Tm 0.982 0.433 0.316
CELL_PARAMETERS angstrom
4.518 -7.453 0.000
4.518 7.453 0.000
-1.024 0.000 9.325

# 2
! AlRhPb2 | the Alexandria database | GGA-PBE | optimized geometry; values from VASP
! * crystal system: monoclinic
! * total magnetic moment: 0.00 μB/f.u.
! * Fermi-level density of states: 2.08 states/eV/cell
! * formation energy: -9 kJ/mol of atoms
&SYSTEM
  ibrav = 0, nat = 4, ntyp = 3
/
ATOMIC_SPECIES
Al 26.98 Al.upf
Rh 102.91 Rh.upf
Pb 207.20 Pb.upf
ATOMIC_POSITIONS crystal
Al 0.000 0.000 0.000
Rh 0.129 0.500 0.257
Pb 0.422 0.500 0.839
Pb 0.710 0.000 0.427
CELL_PARAMETERS angstrom
4.268 0.000 0.000
0.000 4.128 0.000
-2.098 0.000 5.072

# 3
! Li2VSb | the Alexandria database | GGA-PBE | optimized geometry; values from VASP
! * crystal system: tetragonal
! * total magnetic moment: 2.92 μB/f.u.
! * formation energy without anion corrections: 0.144 eV/atom
! * Fermi-level density of states: 8.72 states/eV/cell
&SYSTEM
  ibrav = 0, nat = 8, ntyp = 3
/
ATOMIC_SPECIES
Li 6.94 Li.upf
V 50.94 V.upf
Sb 121.76 Sb.upf
ATOMIC_POSITIONS crystal
Li 0.113 0.625 0.988
Li 0.375 0.363 0.488
Li 0.637 0.125 0.012
Li 0.875 0.887 0.512
V 0.250 0.750 0.500
V 0.500 0.500 0.000
Sb 0.000 0.000 0.000
Sb 0.750 0.250 0.500
CELL_PARAMETERS angstrom
-1.982 1.982 10.077
1.982 -1.982 10.077
1.982 1.982 -10.077

# 4
! CsBa2CdRh | the Alexandria database | GGA-PBE | optimized geometry; values from VASP
! * crystal system: tetragonal
! * total magnetic moment: 0.00 μB/f.u.
! * Fermi-level density of states: 3.94 states/eV/cell
! * formation energy: -6 kJ/mol of atoms
&SYSTEM
  ibrav = 0, nat = 5, ntyp = 4
/
ATOMIC_SPECIES
Cs 132.91 Cs.upf
Ba 137.33 Ba.upf
Cd 112.41 Cd.upf
Rh 102.91 Rh.upf
ATOMIC_POSITIONS crystal
Cs 0.000 0.000 0.000
Ba 0.000 0.500 0.500
Ba 0.500 0.000 0.500
Cd 0.500 0.500 0.000
Rh 0.500 0.500 0.500
CELL_PARAMETERS angstrom
6.070 0.000 0.000
0.000 6.070 0.000
0.000 0.000 5.675

Q: The highest Fermi-level density of states belongs to which entry?
A: SmY2ErTm6